The following is a PBE calculation of crystalline RbCaS2N at its relaxed geometry, from the Alexandria database.

POSCAR file:
```
RbCaS2N
1.0
5.468 0.000 0.000
0.000 5.468 0.000
0.000 0.000 4.920
N Ca S Rb
1 1 2 1
direct
0.000 0.000 0.500
0.000 0.000 0.000
0.000 0.500 0.000
0.500 0.000 0.000
0.500 0.500 0.500
```

Results
E above lowest polymorph, eV/atom: 0.000
ΔE_f (raw), eV per atom: 0.037
D(E_F), states/eV per cell: 3.8
V, Å³/f.u.: 147.1

***

The following is a PBE calculation of crystalline RbCaSN2 at its relaxed geometry, from the Alexandria database.

POSCAR file:
```
RbCaSN2
1.0
4.916 0.000 0.000
0.000 4.916 0.000
0.000 0.000 6.209
N Ca Rb S
2 1 1 1
direct
0.500 0.000 0.000
0.000 0.500 0.000
0.500 0.500 0.500
0.000 0.000 0.000
0.000 0.000 0.500
```

Results
E above lowest polymorph, eV/atom: 0.765
ΔE_f (raw), eV per atom: 1.449
D(E_F), states/eV per cell: 1.7
V, Å³/f.u.: 150.1

***

The following is a PBE calculation of crystalline RbCaSe2N at its relaxed geometry, from the Alexandria database.

POSCAR file:
```
RbCaSe2N
1.0
5.701 0.000 0.000
0.000 5.701 0.000
0.000 0.000 4.904
Rb Se N Ca
1 2 1 1
direct
0.500 0.500 0.500
0.500 0.000 0.000
0.000 0.500 0.000
0.000 0.000 0.500
0.000 0.000 0.000
```

Results
E above lowest polymorph, eV/atom: 0.000
ΔE_f (raw), eV per atom: -0.010
D(E_F), states/eV per cell: 4.6
V, Å³/f.u.: 159.4

***

The following is a PBE calculation of crystalline Rb2CaSeN at its relaxed geometry, from the Alexandria database.

POSCAR file:
```
Rb2CaSeN
1.0
7.557 0.000 0.000
0.000 5.306 0.000
0.000 0.000 7.557
Se N Rb Ca
1 1 2 1
direct
0.000 0.500 0.000
0.500 0.500 0.500
0.500 0.000 0.000
0.000 0.000 0.500
0.000 0.000 0.000
```

Results
ΔE_f (raw), eV per atom: 0.549
D(E_F), states/eV per cell: 6.9
V, Å³/f.u.: 303.0

***

The following is a PBE calculation of crystalline RbCaSe2N at its relaxed geometry, from the Alexandria database.

POSCAR file:
```
RbCaSe2N
1.0
-4.354 2.529 3.079
-3.723 -0.955 -4.479
-1.199 -4.426 1.941
N Se Ca Rb
1 2 1 1
direct
0.000 0.000 0.500
0.500 0.000 0.000
0.000 0.500 0.000
0.500 0.500 0.500
0.000 0.000 0.000
```

Results
E above lowest polymorph, eV/atom: 0.776
ΔE_f (raw), eV per atom: 0.766
D(E_F), states/eV per cell: 4.6
V, Å³/f.u.: 173.5

***

The following is a PBE calculation of crystalline RbSr2CaN at its relaxed geometry, from the Alexandria database.

POSCAR file:
```
RbSr2CaN
1.0
5.364 0.000 0.000
0.000 6.565 0.000
0.000 0.000 5.364
N Sr Rb Ca
1 2 1 1
direct
0.000 0.000 0.000
0.000 0.000 0.500
0.500 0.000 0.000
0.000 0.500 0.000
0.500 0.500 0.500
```

Results
E above lowest polymorph, eV/atom: 0.112
ΔE_f (raw), eV per atom: 0.110
D(E_F), states/eV per cell: 4.9
V, Å³/f.u.: 188.9

***

The following is a PBE calculation of crystalline RbSr2CaN at its relaxed geometry, from the Alexandria database.

POSCAR file:
```
RbSr2CaN
1.0
-3.738 3.978 1.658
-2.933 -0.991 -4.234
-2.897 -3.945 2.931
Sr Ca Rb N
2 1 1 1
direct
0.000 0.000 0.500
0.500 0.000 0.000
0.000 0.500 0.000
0.500 0.500 0.500
0.000 0.000 0.000
```

Results
E above lowest polymorph, eV/atom: 0.000
ΔE_f (raw), eV per atom: -0.002
D(E_F), states/eV per cell: 4.0
V, Å³/f.u.: 170.7

***

The following is a PBE calculation of crystalline RbCaTeN2 at its relaxed geometry, from the Alexandria database.

POSCAR file:
```
RbCaTeN2
1.0
5.052 0.000 0.000
0.000 5.052 0.000
0.000 0.000 6.204
Rb N Te Ca
1 2 1 1
direct
0.500 0.500 0.500
0.500 0.000 0.000
0.000 0.500 0.000
0.000 0.000 0.500
0.000 0.000 0.000
```

Results
E above lowest polymorph, eV/atom: 0.000
ΔE_f (raw), eV per atom: 0.769
D(E_F), states/eV per cell: 4.4
V, Å³/f.u.: 158.4

***

The following is a PBE calculation of crystalline RbCaTe2N at its relaxed geometry, from the Alexandria database.

POSCAR file:
```
RbCaTe2N
1.0
6.280 0.000 0.000
0.000 6.280 0.000
0.000 0.000 5.056
N Te Rb Ca
1 2 1 1
direct
0.000 0.000 0.500
0.000 0.500 0.000
0.500 0.000 0.000
0.000 0.000 0.000
0.500 0.500 0.500
```

Results
E above lowest polymorph, eV/atom: 0.595
ΔE_f (raw), eV per atom: 0.807
D(E_F), states/eV per cell: 5.6
V, Å³/f.u.: 199.4

***

The following is a PBE calculation of crystalline RbCaTe2N at its relaxed geometry, from the Alexandria database.

POSCAR file:
```
RbCaTe2N
1.0
-4.749 -2.899 2.570
3.816 -4.201 2.313
0.498 2.532 3.777
N Te Ca Rb
1 2 1 1
direct
0.000 0.000 0.500
0.000 0.500 0.000
0.500 0.000 0.000
0.000 0.000 0.000
0.500 0.500 0.500
```

Results
E above lowest polymorph, eV/atom: 0.000
ΔE_f (raw), eV per atom: 0.213
D(E_F), states/eV per cell: 7.6
V, Å³/f.u.: 171.8

***

The following is a PBE calculation of crystalline RbCaTeN2 at its relaxed geometry, from the Alexandria database.

POSCAR file:
```
RbCaTeN2
1.0
-2.834 -1.012 -4.021
2.773 -4.084 -0.926
-4.399 -3.912 4.086
Ca N Rb Te
1 2 1 1
direct
0.500 0.500 0.500
0.500 0.000 0.000
0.000 0.500 0.000
0.000 0.000 0.000
0.000 0.000 0.500
```

Results
E above lowest polymorph, eV/atom: 0.606
ΔE_f (raw), eV per atom: 1.376
D(E_F), states/eV per cell: 2.6
V, Å³/f.u.: 180.8

***

The following is a PBE calculation of crystalline RbCaW2N at its relaxed geometry, from the Alexandria database.

POSCAR file:
```
RbCaW2N
1.0
4.133 0.000 0.000
0.000 5.647 0.000
0.000 0.000 4.133
Ca Rb W N
1 1 2 1
direct
0.500 0.500 0.500
0.000 0.500 0.000
0.000 0.000 0.500
0.500 0.000 0.000
0.000 0.000 0.000
```

Results
ΔE_f (raw), eV per atom: 0.675
D(E_F), states/eV per cell: 2.4
V, Å³/f.u.: 96.4